DFT (GGA-PBE) results for Ag2AsF5 after structural relaxation.

Properties
density of states at the Fermi level	0.00	states/eV/f.u.
formation energy without anion corrections	-1500.0	meV/atom
mass density	5.26	g cm⁻³

a = 6.1681 Å, b = 6.1681 Å, c = 6.3976 Å
α = 90.00°, β = 90.00°, γ = 90.00°
Closest atoms and distances in Å follow each position.
Space group I4mm (No. 107)
One atom of each set of equivalent atoms:
Ag1 0.0000 0.5000 0.0000  8 F 2.70-2.72
As1 0.0000 0.0000 0.2195  5 F 1.78-1.99
F1 0.0000 0.0000 0.4976  1 As 1.78
F2 0.2269 0.2269 0.2521  1 As 1.99

***

DFT (GGA-PBE) results for Ag3AsF8 after structural relaxation.

Properties
formation energy without anion corrections	-1532.1	meV/atom
mass density	3.82	g cm⁻³

a = 5.8511 Å, b = 10.4983 Å, c = 7.7965 Å
α = 90.00°, β = 90.00°, γ = 90.00°
Closest atoms and distances in Å follow each position.
Space group C222 (No. 21)
One atom of each set of equivalent atoms:
Ag1 0.0000 0.0000 0.0000  2 F 2.13
Ag2 0.2500 0.2500 0.7799  2 F 2.31
As1 0.0000 0.0000 0.5000  6 F 1.78-1.79
F1 0.0000 0.1708 0.5000  1 As 1.79
F2 0.0000 0.2033 0.0000  3 Ag 2.13-2.31
F3 0.2150 0.0027 0.6608  1 As 1.78